(1)
Crystalline BaLi2Sn2 at its relaxed geometry, computed with PBE.

Values from the calculation:
space-group type = No. 127
crystal system = tetragonal
DFT formation energy = -0.2688 eV/atom
total moment = 0.40 μB/f.u.

The structure in POSCAR format:
```
BaLi2Sn2
1.0
8.814 0.000 0.000
0.000 8.814 0.000
0.000 0.000 3.651
Ba Li Sn
2 4 4
Direct
0.000 0.000 0.000
0.500 0.500 0.000
0.159 0.341 0.500
0.341 0.841 0.500
0.659 0.159 0.500
0.841 0.659 0.500
0.119 0.619 0.000
0.381 0.119 0.000
0.619 0.881 0.000
0.881 0.381 0.000
```

***

(2)
Crystalline BaLiSn6 at its relaxed geometry, computed with PBE.

Values from the calculation:
space-group type = No. 123
crystal system = tetragonal
DFT formation energy = -0.2521 eV/atom
total moment = 0.00 μB/f.u.

The structure in POSCAR format:
```
BaLiSn6
1.0
4.778 0.000 0.000
0.000 4.778 0.000
0.000 0.000 10.611
Ba Li Sn
1 1 6
Direct
0.000 0.000 0.000
0.000 0.000 0.500
0.000 0.500 0.331
0.000 0.500 0.669
0.500 0.000 0.331
0.500 0.000 0.669
0.500 0.500 0.147
0.500 0.500 0.853
```